No. 1
A plane-wave DFT calculation with GGA-PBE was carried out for crystalline Sb3AsI7 at its relaxed geometry.

Formation energy without anion corrections (eV per formula unit): -2.16
Total magnetization (μB/cell): 0.00

The structure in CIF format:
```
data_Sb3AsI7
_chemical_formula_sum 'Sb3 As1 I7'
_symmetry_space_group_name_H-M 'P 3 m 1'
_symmetry_Int_Tables_number 156
_cell_length_a 8.4515
_cell_length_b 8.4515
_cell_length_c 7.6838
_cell_angle_alpha 90.00
_cell_angle_beta 90.00
_cell_angle_gamma 120.00
loop_
_symmetry_equiv_pos_as_xyz
'x,y,z'
'-y,x-y,z'
'-x+y,-x,z'
'-y,-x,z'
'-x+y,y,z'
'x,x-y,z'
loop_
_atom_site_label
_atom_site_type_symbol
_atom_site_fract_x
_atom_site_fract_y
_atom_site_fract_z
Sb1 Sb 0.0193 0.5097 0.0000
As1 As 0.3333 0.6667 0.2017
I1 I 0.1669 0.3337 0.7539
I2 I 0.3289 0.1644 0.2261
I3 I 0.6667 0.3333 0.7283
```

---

No. 2
A plane-wave DFT calculation with GGA-PBE was carried out for crystalline Sb2As2I at its relaxed geometry.

ΔE to the lowest computed polymorph (eV per formula unit): 0.45
Formation energy without anion corrections (eV per formula unit): 0.59
Total magnetization (μB/cell): 0.00

The structure in CIF format:
```
data_Sb2As2I
_chemical_formula_sum 'Sb4 As4 I2'
_symmetry_space_group_name_H-M 'I 4/m m m'
_symmetry_Int_Tables_number 139
_symmetry_space_group_name_Hall '-I 4 2'
_cell_length_a 4.9798
_cell_length_b 4.9798
_cell_length_c 11.9742
_cell_angle_alpha 90.00
_cell_angle_beta 90.00
_cell_angle_gamma 90.00
loop_
_atom_site_label
_atom_site_type_symbol
_atom_site_fract_x
_atom_site_fract_y
_atom_site_fract_z
Sb1 Sb 0.0000 0.5000 0.2500
As1 As 0.0000 0.0000 0.1370
I1 I 0.0000 0.0000 0.5000
```

---

No. 3
A plane-wave DFT calculation with GGA-PBE was carried out for crystalline SbAsI at its relaxed geometry.

ΔE to the lowest computed polymorph (eV per formula unit): 0.01
Formation energy without anion corrections (eV per formula unit): 0.02
Total magnetization (μB/cell): 0.00

The structure in CIF format:
```
data_SbAsI
_chemical_formula_sum 'Sb2 As2 I2'
_symmetry_space_group_name_H-M 'P -1'
_symmetry_Int_Tables_number 2
_cell_length_a 4.1495
_cell_length_b 7.1295
_cell_length_c 7.7184
_cell_angle_alpha 63.97
_cell_angle_beta 77.37
_cell_angle_gamma 81.63
loop_
_symmetry_equiv_pos_as_xyz
'x,y,z'
'-x,-y,-z'
loop_
_atom_site_label
_atom_site_type_symbol
_atom_site_fract_x
_atom_site_fract_y
_atom_site_fract_z
Sb1 Sb 0.2302 0.2910 0.1778
As1 As 0.3307 0.4728 0.7759
I1 I 0.0700 0.1312 0.7131
```

---

Question: Which value of total magnetization does entry 2 give?
Answer: 0.00 μB/cell

---

Question: What is the total magnetization in the third record?
Answer: 0.00 μB/cell

---

Question: formation energy without anion corrections of number 2 (Sb2As2I)?
Answer: 0.59 eV per formula unit